Computed, not measured: crystalline KPbWF6 at its relaxed geometry at the PBE+U level of DFT.

Properties
As for the energy: -5.137 eV per atom. The density of states at the Fermi level comes out at 0.00 states/eV/f.u. The value obtained for the volume is 342 Å³/cell. As for the space-group type: Imma (74).

abc: 7.8613 7.8613 7.8613
angles: 120.39 120.27 89.42
Atoms (fractional coordinates):
1 K 0.3852 0.1352 0.2500
2 K 0.6148 0.8648 0.7500
3 Pb 0.0000 0.0000 0.5000
4 Pb 0.0000 0.5000 0.0000
5 W 0.0000 0.5000 0.5000
6 W 0.5000 0.5000 0.0000
7 F 0.1284 0.8784 0.2500
8 F 0.1631 0.4410 0.3420
9 F 0.1631 0.8211 0.7221
10 F 0.1747 0.4247 0.7500
11 F 0.4010 0.1789 0.8420
12 F 0.4010 0.5590 0.2221
13 F 0.5990 0.4410 0.7779
14 F 0.5990 0.8211 0.1580
15 F 0.8253 0.5753 0.2500
16 F 0.8369 0.1789 0.2779
17 F 0.8369 0.5590 0.6580
18 F 0.8716 0.1216 0.7500